Entry A
CsIrOF2 | PBE-GGA | optimized geometry

The magnetic moment comes out at 0.59 μB/atom.

a b c (Å): 5.2169 5.2169 4.2949
angles (deg): 90.00 90.00 90.00
Atoms (fractional coordinates):
O: 0.0000 0.0000 0.5000
F: 0.0000 0.5000 0.0000
Cs: 0.0000 0.0000 0.0000
F: 0.5000 0.0000 0.0000
Ir: 0.5000 0.5000 0.5000



Entry B
CsIrOF2 | PBE-GGA | optimized geometry

The magnetic moment comes out at 0.00 μB/atom.

a b c (Å): 4.7394 4.7394 3.7648
angles (deg): 90.00 90.00 90.00
Atoms (fractional coordinates):
O: 0.0000 0.0000 0.5000
Ir: 0.0000 0.0000 0.0000
F: 0.5000 0.0000 0.0000
Cs: 0.5000 0.5000 0.5000
F: 0.0000 0.5000 0.0000



The computed energies, referenced to the most stable structure and given in kJ/mol of atoms, are entry A 198.7; entry B 0.0.



Entry A
CsRb2IrF6 | PBE-GGA | optimized geometry

The magnetic moment comes out at 0.02 μB/atom.

a b c (Å): 6.1821 7.7358 9.4143
angles (deg): 90.00 90.00 90.00
Atoms (fractional coordinates):
Rb: 0.0000 0.1683 0.7100
F: 0.2294 0.0115 0.0000
F: 0.7358 0.3641 0.5000
F: 0.0000 0.8183 0.2173
Cs: 0.5000 0.3299 0.0000
F: 0.5000 0.1817 0.7173
Cs: 0.0000 0.6701 0.5000
Ir: 0.5000 0.1801 0.5000
Ir: 0.0000 0.8199 0.0000
F: 0.0000 0.8183 0.7827
F: 0.5000 0.1817 0.2827
F: 0.2358 0.6359 0.0000
F: 0.7642 0.6359 0.0000
Rb: 0.0000 0.1683 0.2900
Rb: 0.5000 0.8317 0.2100
F: 0.2642 0.3641 0.5000
F: 0.7294 0.9885 0.5000
F: 0.2706 0.9885 0.5000
F: 0.7706 0.0115 0.0000
Rb: 0.5000 0.8317 0.7900



Entry B
CsRb2IrF6 | PBE-GGA | optimized geometry

The magnetic moment comes out at 0.02 μB/atom.

a b c (Å): 6.7791 6.7791 6.7791
angles (deg): 60.00 60.00 60.00
Atoms (fractional coordinates):
F: 0.2124 0.7876 0.2124
Ir: 0.0000 0.0000 0.0000
Rb: 0.2500 0.2500 0.2500
F: 0.7876 0.2124 0.7876
F: 0.2124 0.2124 0.7876
Cs: 0.5000 0.5000 0.5000
F: 0.7876 0.2124 0.2124
Rb: 0.7500 0.7500 0.7500
F: 0.7876 0.7876 0.2124
F: 0.2124 0.7876 0.7876



The computed energies, referenced to the most stable structure and given in kJ/mol of atoms, are entry A 0.0; entry B 3.8.